Model 1:
This record from the Alexandria database describes a relaxed structure of Ca2Al3Zn5. The functional is GGA-PBE.

```
Ca2Al3Zn5
1.0
4.1651 0.0000 0.0000
0.0000 4.1651 0.0000
0.0000 0.0000 11.4086
Ca Al Zn
2 3 5
direct
0.5000 0.0000 0.2457
0.0000 0.5000 0.7543
0.5000 0.0000 0.6417
0.0000 0.5000 0.3583
0.0000 0.0000 0.5000
0.5000 0.5000 0.0000
0.0000 0.0000 0.0000
0.5000 0.0000 0.8631
0.0000 0.5000 0.1369
0.5000 0.5000 0.5000
```

Calculated values
N(E_F) ... 5.13 states/eV/f.u.
SG ... No. 115
M_tot ... 0.00 μB per cell


Model 2:
This record from the Alexandria database describes a relaxed structure of Ca2Al3Zn5. The functional is GGA-PBE.

```
Ca2Al3Zn5
1.0
5.5539 0.0000 2.1012
2.4535 8.0906 1.9054
-0.1016 -0.3449 8.6591
Ca Al Zn
4 6 10
direct
0.1243 0.6223 0.1291
0.6243 0.1291 0.6223
0.8757 0.3777 0.8709
0.3757 0.8709 0.3777
0.3708 0.4980 0.7605
0.8708 0.7605 0.4980
0.6292 0.5020 0.2395
0.1292 0.2395 0.5020
0.2500 0.0000 0.0000
0.7500 0.0000 0.0000
0.3767 0.2654 0.9811
0.8767 0.9811 0.2654
0.6233 0.7346 0.0189
0.1233 0.0189 0.7346
0.4905 0.7595 0.7595
0.5095 0.2405 0.2405
0.7500 0.5000 0.5000
0.2500 0.5000 0.5000
0.0095 0.2405 0.2405
0.9905 0.7595 0.7595
```

Calculated values
N(E_F) ... 3.17 states/eV/f.u.
SG ... No. 72
M_tot ... 0.00 μB per cell


Energy ordering: model 2 at the bottom, the next structure 0.028 eV/atom above.


Model 1:
This record from the Alexandria database describes a relaxed structure of Ca3AlZn. The functional is GGA-PBE.

```
Ca3AlZn
1.0
-2.2327 -3.7489 -2.9818
4.1119 -3.1854 0.9261
-5.8910 -5.6269 6.8022
Ca Al Zn
6 2 2
direct
0.7516 0.2500 0.1451
0.3977 0.2500 0.8529
0.5745 0.2500 0.4993
0.2506 0.7500 0.1471
0.8967 0.7500 0.8549
0.0738 0.7500 0.5007
0.6647 0.7500 0.3190
0.9837 0.2500 0.6810
0.4845 0.7500 0.6793
0.1638 0.2500 0.3207
```

Calculated values
N(E_F) ... 3.11 states/eV/f.u.
SG ... No. 63
M_tot ... 0.00 μB per cell


Model 2:
This record from the Alexandria database describes a relaxed structure of Ca3AlZn. The functional is GGA-PBE.

```
Ca3AlZn
1.0
-1.3907 5.2479 -1.3960
-4.8564 -1.8468 -2.1045
-2.4301 0.6873 5.0046
Zn Ca Al
1 3 1
direct
0.0000 0.0000 0.0000
0.0000 0.5000 0.0000
0.0000 0.0000 0.5000
0.5000 0.0000 0.0000
0.5000 0.5000 0.5000
```

Calculated values
N(E_F) ... 6.59 states/eV/f.u.
SG ... No. 221
M_tot ... 0.00 μB per cell


Energy ordering: model 1 at the bottom, the next structure 0.393 eV/atom above.